(1)
# BaLiTc2 (PBE, relaxed)
# ΔE to the lowest computed polymorph	597	meV/atom
# energy relative to the elements	0.9700	eV per atom
data_BaLiTc2
_space_group_name_H-M_alt 'I -4 2 d'
_space_group_IT_number 122
_space_group_name_Hall 'I -4 2bw'
_cell_length_a 4.458
_cell_length_b 4.458
_cell_length_c 19.578
_cell_angle_alpha 90.00
_cell_angle_beta 90.00
_cell_angle_gamma 90.00
loop_
_atom_site_label
_atom_site_type_symbol
_atom_site_fract_x
_atom_site_fract_y
_atom_site_fract_z
Ba1 Ba 0.000 0.000 0.000
Li1 Li 0.000 0.000 0.500
Tc1 Tc 0.077 0.250 0.625

---

(2)
# CsLiP (PBE, relaxed)
# ΔE to the lowest computed polymorph	12	meV/atom
# energy relative to the elements	-0.4356	eV per atom
data_CsLiP
_space_group_name_H-M_alt 'C 1 2/m 1'
_space_group_IT_number 12
_cell_length_a 8.497
_cell_length_b 4.155
_cell_length_c 12.222
_cell_angle_alpha 90.00
_cell_angle_beta 101.98
_cell_angle_gamma 90.00
loop_
_space_group_symop_operation_xyz
'x,y,z'
'-x,-y,-z'
'-x,y,-z'
'x,-y,z'
'x+1/2,y+1/2,z'
'-x+1/2,-y+1/2,-z'
'-x+1/2,y+1/2,-z'
'x+1/2,-y+1/2,z'
loop_
_atom_site_label
_atom_site_type_symbol
_atom_site_fract_x
_atom_site_fract_y
_atom_site_fract_z
Cs1 Cs 0.197 0.000 0.220
Li1 Li 0.131 0.500 0.462
P1 P 0.079 0.000 0.584

---

(3)
# Nb2GaSb2 (PBE, relaxed)
# energy relative to the elements, uncorrected	-0.124	eV/atom
data_Nb2GaSb2
_space_group_name_H-M_alt 'P 4/m b m'
_space_group_IT_number 127
_space_group_name_Hall '-P 4 2ab'
_cell_length_a 7.400
_cell_length_b 7.400
_cell_length_c 3.790
_cell_angle_alpha 90.00
_cell_angle_beta 90.00
_cell_angle_gamma 90.00
loop_
_atom_site_label
_atom_site_type_symbol
_atom_site_fract_x
_atom_site_fract_y
_atom_site_fract_z
Nb1 Nb 0.145 0.355 0.000
Ga1 Ga 0.000 0.000 0.000
Sb1 Sb 0.153 0.653 0.500

---

(4)
# Li2Cd4Hg3 (PBE, relaxed)
# ΔE to the lowest computed polymorph	0	meV/atom
# energy relative to the elements	-0.1475	eV per atom
data_Li2Cd4Hg3
_space_group_name_H-M_alt 'C 1 2/m 1'
_space_group_IT_number 12
_cell_length_a 10.072
_cell_length_b 4.347
_cell_length_c 9.547
_cell_angle_alpha 90.00
_cell_angle_beta 111.86
_cell_angle_gamma 90.00
loop_
_space_group_symop_operation_xyz
'x,y,z'
'-x,-y,-z'
'-x,y,-z'
'x,-y,z'
'x+1/2,y+1/2,z'
'-x+1/2,-y+1/2,-z'
'-x+1/2,y+1/2,-z'
'x+1/2,-y+1/2,z'
loop_
_atom_site_label
_atom_site_type_symbol
_atom_site_fract_x
_atom_site_fract_y
_atom_site_fract_z
Li1 Li 0.164 0.000 0.220
Cd1 Cd 0.000 0.500 0.335
Cd2 Cd 0.163 0.000 0.891
Hg1 Hg 0.000 0.500 0.000
Hg2 Hg 0.181 0.000 0.576

---

(5)
# Pm8Sb5As (PBE, relaxed)
# energy relative to the elements, uncorrected	-1.088	eV/atom
data_Pm8Sb5As
_space_group_name_H-M_alt 'I -4'
_space_group_IT_number 82
_cell_length_a 9.337
_cell_length_b 9.337
_cell_length_c 9.444
_cell_angle_alpha 90.00
_cell_angle_beta 90.00
_cell_angle_gamma 90.00
loop_
_space_group_symop_operation_xyz
'x,y,z'
'y,-x,-z'
'-x,-y,z'
'-y,x,-z'
'x+1/2,y+1/2,z+1/2'
'y+1/2,-x+1/2,-z+1/2'
'-x+1/2,-y+1/2,z+1/2'
'-y+1/2,x+1/2,-z+1/2'
loop_
_atom_site_label
_atom_site_type_symbol
_atom_site_fract_x
_atom_site_fract_y
_atom_site_fract_z
Pm1 Pm 0.070 0.178 0.198
Pm2 Pm 0.071 0.307 0.551
Sb1 Sb 0.000 0.500 0.250
Sb2 Sb 0.121 0.252 0.876
As1 As 0.000 0.000 0.500

---

(6)
# K2PrHg (PBE, relaxed)
# energy relative to the elements	0.1827	eV per atom
data_K2PrHg
_space_group_name_H-M_alt 'R -3 m'
_space_group_IT_number 166
_space_group_name_Hall '-R 3 2"'
_cell_length_a 3.7810
_cell_length_b 3.7810
_cell_length_c 39.5662
_cell_angle_alpha 90.00
_cell_angle_beta 90.00
_cell_angle_gamma 120.00
loop_
_atom_site_label
_atom_site_type_symbol
_atom_site_fract_x
_atom_site_fract_y
_atom_site_fract_z
K1 K 0.0000 0.0000 0.0951
Pr1 Pr 0.0000 0.0000 0.0000
Hg1 Hg 0.0000 0.0000 0.5000

---

(7)
# NaLa2Tl (PBE, relaxed)
# ΔE to the lowest computed polymorph	307	meV/atom
# energy relative to the elements	0.1755	eV per atom
data_NaLa2Tl
_space_group_name_H-M_alt 'I -4 2 d'
_space_group_IT_number 122
_space_group_name_Hall 'I -4 2bw'
_cell_length_a 4.750
_cell_length_b 4.750
_cell_length_c 24.405
_cell_angle_alpha 90.00
_cell_angle_beta 90.00
_cell_angle_gamma 90.00
loop_
_atom_site_label
_atom_site_type_symbol
_atom_site_fract_x
_atom_site_fract_y
_atom_site_fract_z
Na1 Na 0.000 0.000 0.000
La1 La 0.217 0.250 0.625
Tl1 Tl 0.000 0.000 0.500

---

(8)
# Ce2Ho3TmSe6 (PBE, relaxed)
# energy relative to the elements, uncorrected	-1.752	eV/atom
data_Ce2Ho3TmSe6
_space_group_name_H-M_alt 'C 1 2/m 1'
_space_group_IT_number 12
_cell_length_a 17.897
_cell_length_b 4.069
_cell_length_c 8.264
_cell_angle_alpha 90.00
_cell_angle_beta 103.84
_cell_angle_gamma 90.00
loop_
_space_group_symop_operation_xyz
'x,y,z'
'-x,-y,-z'
'-x,y,-z'
'x,-y,z'
'x+1/2,y+1/2,z'
'-x+1/2,-y+1/2,-z'
'-x+1/2,y+1/2,-z'
'x+1/2,-y+1/2,z'
loop_
_atom_site_label
_atom_site_type_symbol
_atom_site_fract_x
_atom_site_fract_y
_atom_site_fract_z
Ce1 Ce 0.168 0.000 0.337
Ho1 Ho 0.000 0.500 0.500
Ho2 Ho 0.169 0.000 0.833
Tm1 Tm 0.000 0.500 0.000
Se1 Se 0.003 0.000 0.755
Se2 Se 0.163 0.500 0.591
Se3 Se 0.164 0.500 0.074

---

What did the seventh record say?
# NaLa2Tl (PBE, relaxed)
# ΔE to the lowest computed polymorph	307	meV/atom
# energy relative to the elements	0.1755	eV per atom
data_NaLa2Tl
_space_group_name_H-M_alt 'I -4 2 d'
_space_group_IT_number 122
_space_group_name_Hall 'I -4 2bw'
_cell_length_a 4.750
_cell_length_b 4.750
_cell_length_c 24.405
_cell_angle_alpha 90.00
_cell_angle_beta 90.00
_cell_angle_gamma 90.00
loop_
_atom_site_label
_atom_site_type_symbol
_atom_site_fract_x
_atom_site_fract_y
_atom_site_fract_z
Na1 Na 0.000 0.000 0.000
La1 La 0.217 0.250 0.625
Tl1 Tl 0.000 0.000 0.500

---

Question: What is the formula in the fifth record?
Answer: Pm8Sb5As